Here is a geometry-optimized Sm2PuIn structure from Alexandria via LeMat-Bulk. Energies are from GGA-PBE.

E_form ... -28 meV per atom
Symmetry ... R-3m (166)
Total moment ... 17.87 μB per cell
E above lowest polymorph ... 0.49 eV/f.u.
Theoretical density ... 9.14 g/cm³

abc: 3.5403 3.5403 33.1242
angles: 90.00 90.00 120.00
Fractional positions:
Sm: 0.0000 0.0000 0.2479
Sm: 0.0000 0.0000 0.7521
Sm: 0.3333 0.6667 0.4188
Sm: 0.3333 0.6667 0.9145
Sm: 0.6667 0.3333 0.0855
Sm: 0.6667 0.3333 0.5812
Pu: 0.0000 0.0000 0.0000
Pu: 0.3333 0.6667 0.6667
Pu: 0.6667 0.3333 0.3333
In: 0.0000 0.0000 0.5000
In: 0.3333 0.6667 0.1667
In: 0.6667 0.3333 0.8333



Here is a geometry-optimized LiFeNiIr structure from Alexandria via LeMat-Bulk. Energies are from GGA-PBE.

E_form ... -53 meV per atom
Symmetry ... F-43m (216)
Total moment ... 16.55 μB per cell
Theoretical density ... 10.69 g/cm³

abc: 5.7972 5.7972 5.7972
angles: 90.00 90.00 90.00
Fractional positions:
Li: 0.0000 0.0000 0.0000
Li: 0.0000 0.5000 0.5000
Li: 0.5000 0.0000 0.5000
Li: 0.5000 0.5000 0.0000
Fe: 0.0000 0.0000 0.5000
Fe: 0.0000 0.5000 0.0000
Fe: 0.5000 0.0000 0.0000
Fe: 0.5000 0.5000 0.5000
Ni: 0.2500 0.2500 0.2500
Ni: 0.2500 0.7500 0.7500
Ni: 0.7500 0.2500 0.7500
Ni: 0.7500 0.7500 0.2500
Ir: 0.2500 0.2500 0.7500
Ir: 0.2500 0.7500 0.2500
Ir: 0.7500 0.2500 0.2500
Ir: 0.7500 0.7500 0.7500



Here is a geometry-optimized CdSnHg3 structure from Alexandria via LeMat-Bulk. Energies are from GGA-PBE.

E_form ... 96 meV per atom
Symmetry ... Ama2 (40)
Total moment ... 0.00 μB per cell
E above lowest polymorph ... 0.27 eV/f.u.
Theoretical density ... 8.95 g/cm³

abc: 5.6196 10.1321 10.1321
angles: 147.60 90.00 90.00
Fractional positions:
Cd: 0.2500 0.1073 0.8927
Cd: 0.7500 0.8927 0.1073
Sn: 0.2500 0.5554 0.7617
Sn: 0.7500 0.7617 0.5554
Hg: 0.2500 0.0915 0.1934
Hg: 0.2500 0.3502 0.8521
Hg: 0.2500 0.5722 0.4422
Hg: 0.7500 0.1934 0.0915
Hg: 0.7500 0.4422 0.5722
Hg: 0.7500 0.8521 0.3502